Computed, not measured: a relaxed structure of Mg2TcPt at the PBE level of DFT.

Results
Total DFT energy (no corrections), eV/atom: -5.04
Excess energy over the best structure of this formula in the dataset, eV per atom: 0.0854
Formation energy from the elements, eV per atom: -0.145
Magnetic moment, μB/atom: 0.00

Cell: 9.7581 2.8045 4.8811 Å, 90.00 100.96 90.00°
Last column: nearest neighbours and their distance in Å.
Space group Cm (No. 8)
Inequivalent atoms, fractional coordinates:
Mg 0.0000 0.0000 0.0000 x2  4 Tc 2.79-2.87, 5 Mg 2.79-3.07, 3 Pt 2.83-2.98
Mg 0.2283 0.0000 0.7306 x2  4 Pt 2.76-2.87, 5 Mg 2.79-3.07, 3 Tc 2.89-2.91
Tc 0.4737 0.0000 0.4805 x2  2 Pt 2.70, 7 Mg 2.79-2.91, 2 Tc 2.80
Pt 0.2438 0.5000 0.2497 x2  2 Tc 2.70, 7 Mg 2.76-2.98, 2 Pt 2.80